Model P:
# CoTe2Br PBEsol relaxed
data_CoTe2Br
_cell_length_a 3.2641
_cell_length_b 3.2641
_cell_length_c 7.9102
_cell_angle_alpha 90.00
_cell_angle_beta 90.00
_cell_angle_gamma 90.00
_space_group_name_H-M_alt 'P 1'
_space_group_IT_number 1
loop_
_space_group_symop_operation_xyz
'x,y,z'
loop_
_atom_site_label
_atom_site_type_symbol
_atom_site_fract_x
_atom_site_fract_y
_atom_site_fract_z
_atom_site_occupancy
Co1 Co 0.0000 0.0000 0.0000 1
Te1 Te 0.5000 0.5000 0.1885 1
Te2 Te 0.5000 0.5000 0.8115 1
Br1 Br 0.0000 0.0000 0.5000 1
# total moment = 0.1 μB per formula unit

Model Q:
# CoTe2Br PBEsol relaxed
data_CoTe2Br
_cell_length_a 7.7218
_cell_length_b 7.7218
_cell_length_c 7.7218
_cell_angle_alpha 28.11
_cell_angle_beta 28.11
_cell_angle_gamma 28.11
_space_group_name_H-M_alt 'P 1'
_space_group_IT_number 1
loop_
_space_group_symop_operation_xyz
'x,y,z'
loop_
_atom_site_label
_atom_site_type_symbol
_atom_site_fract_x
_atom_site_fract_y
_atom_site_fract_z
_atom_site_occupancy
Co1 Co 0.0000 0.0000 0.0000 1
Te1 Te 0.2760 0.2760 0.2760 1
Te2 Te 0.7240 0.7240 0.7240 1
Br1 Br 0.5000 0.5000 0.5000 1
# total moment = 0.0 μB per formula unit

Quick one: most stable of them? model Q